# MgAg5Au8 | the Alexandria database | PBE | relaxed
# volume	19.13	Å³/atom
# energy of formation from the pure elements	-0.011	eV per atom
# total moment	0.00	μB per cell
# E_tot	-3.016	eV/atom
data_MgAg5Au8
_cell_length_a 8.211
_cell_length_b 8.211
_cell_length_c 7.945
_cell_angle_alpha 90.00
_cell_angle_beta 90.00
_cell_angle_gamma 90.00
_space_group_name_H-M_alt 'I -4'
_space_group_IT_number 82
loop_
_space_group_symop_operation_xyz
'x,y,z'
'y,-x,-z'
'-x,-y,z'
'-y,x,-z'
'x+1/2,y+1/2,z+1/2'
'y+1/2,-x+1/2,-z+1/2'
'-x+1/2,-y+1/2,z+1/2'
'-y+1/2,x+1/2,-z+1/2'
loop_
_atom_site_label
_atom_site_type_symbol
_atom_site_fract_x
_atom_site_fract_y
_atom_site_fract_z
Mg1 Mg 0.000 0.000 0.000
Ag1 Ag 0.000 0.500 0.750
Ag2 Ag 0.106 0.811 0.408
Au1 Au 0.061 0.663 0.081
Au2 Au 0.119 0.813 0.759